Material: K3Ca2WO6
Method: DFT, GGA+U
State: relaxed

Properties
raw total energy: -5.91 eV per atom
SG: C2/m (12)
total magnetization: 0.083 μB per atom

```
K3Ca2WO6
1.0
-1.3815 -1.8806 -5.4480
2.1493 -3.7826 4.0248
-5.9716 0.6508 2.3565
K Ca W O
3 2 1 6
Direct
0.1698 0.8302 0.5000
0.8302 0.1698 0.5000
0.5000 0.5000 0.5000
0.3304 0.6696 0.0000
0.6696 0.3304 0.0000
0.0000 0.0000 0.0000
0.9368 0.6413 0.8137
0.7781 0.7781 0.1795
0.0632 0.3587 0.1863
0.6413 0.9368 0.8137
0.2219 0.2219 0.8205
0.3587 0.0632 0.1863
```